Entry from OQMD via LeMat-Bulk: crystalline Pm3SbTe2 at its relaxed geometry (PBE).

The total energy comes out at -5.480 eV per atom. Its size of the total moment is 0.00 μB/atom.

The space group is C2/c (No. 15) and the conventional cell measures 7.756, 13.399 and 7.758 Å, with angles of 90.00, 109.46 and 90.00 degrees. The distinct sites, in fractional coordinates, are Pm at (0.239, 0.080, 0.499), Pm at (0.250, 0.250, 0.000), Sb at (0.000, 0.085, 0.750), Te at (0.000, 0.252, 0.250) and Te at (0.000, 0.417, 0.750).